# 1
A plane-wave DFT calculation with PBEsol was carried out for CsLaBr2 after structural relaxation.

a = 4.296 Å, b = 4.296 Å, c = 10.799 Å
α = 78.53°, β = 78.53°, γ = 60.00°
Element x y z (fractional)
Cs 0.500 0.500 0.500
Br 0.909 0.909 0.273
Br 0.091 0.091 0.727
La 0.000 0.000 0.000

Output
SG: R-3m
raw total energy: -3.737 eV/atom
V: 168.0 Å³ per cell

---

# 2
A plane-wave DFT calculation with PBEsol was carried out for CsLaNb6Br18 after structural relaxation.

a = 9.749 Å, b = 9.749 Å, c = 18.167 Å
α = 90.00°, β = 90.00°, γ = 120.00°
Element x y z (fractional)
Cs 0.667 0.333 0.250
Cs 0.333 0.667 0.750
La 0.333 0.667 0.250
La 0.667 0.333 0.750
Nb 0.155 0.188 0.434
Nb 0.845 0.812 0.566
Nb 0.032 0.845 0.434
Nb 0.155 0.968 0.066
Nb 0.968 0.155 0.566
Nb 0.845 0.032 0.934
Nb 0.812 0.968 0.434
Nb 0.032 0.188 0.066
Nb 0.188 0.032 0.566
Nb 0.968 0.812 0.934
Nb 0.812 0.845 0.066
Nb 0.188 0.155 0.934
Br 0.373 0.441 0.341
Br 0.627 0.559 0.659
Br 0.068 0.627 0.341
Br 0.373 0.932 0.159
Br 0.932 0.373 0.659
Br 0.627 0.068 0.841
Br 0.559 0.932 0.341
Br 0.068 0.441 0.159
Br 0.441 0.068 0.659
Br 0.932 0.559 0.841
Br 0.559 0.627 0.159
Br 0.441 0.373 0.841
Br 0.961 0.191 0.338
Br 0.039 0.809 0.662
Br 0.230 0.039 0.338
Br 0.961 0.770 0.162
Br 0.770 0.961 0.662
Br 0.039 0.230 0.838
Br 0.809 0.770 0.338
Br 0.230 0.191 0.162
Br 0.191 0.230 0.662
Br 0.770 0.809 0.838
Br 0.809 0.039 0.162
Br 0.191 0.961 0.838
Br 0.730 0.151 0.500
Br 0.270 0.849 0.500
Br 0.421 0.270 0.500
Br 0.730 0.579 0.000
Br 0.579 0.730 0.500
Br 0.270 0.421 0.000
Br 0.849 0.579 0.500
Br 0.421 0.151 0.000
Br 0.151 0.421 0.500
Br 0.579 0.849 0.000
Br 0.849 0.270 0.000
Br 0.151 0.730 0.000

Output
SG: P-31c
raw total energy: -5.194 eV/atom
V: 1495.2 Å³ per cell

---

# 3
A plane-wave DFT calculation with PBEsol was carried out for Cs2LaTa6Br15O3 after structural relaxation.

a = 9.464 Å, b = 9.464 Å, c = 18.070 Å
α = 90.00°, β = 90.00°, γ = 120.00°
Element x y z (fractional)
Cs 0.333 0.667 0.955
Cs 0.667 0.333 0.045
Cs 0.333 0.667 0.545
Cs 0.667 0.333 0.455
La 0.333 0.667 0.250
La 0.667 0.333 0.750
Ta 0.811 0.827 0.186
Ta 0.016 0.189 0.186
Ta 0.189 0.016 0.686
Ta 0.016 0.827 0.314
Ta 0.984 0.173 0.686
Ta 0.827 0.811 0.686
Ta 0.811 0.984 0.314
Ta 0.173 0.984 0.186
Ta 0.984 0.811 0.814
Ta 0.173 0.189 0.314
Ta 0.189 0.173 0.814
Ta 0.827 0.016 0.814
Br 0.471 0.397 0.882
Br 0.603 0.529 0.618
Br 0.795 0.018 0.087
Br 0.529 0.926 0.382
Br 0.215 0.429 0.750
Br 0.926 0.397 0.618
Br 0.471 0.074 0.618
Br 0.795 0.777 0.413
Br 0.982 0.205 0.413
Br 0.018 0.223 0.913
Br 0.777 0.982 0.587
Br 0.529 0.603 0.118
Br 0.205 0.982 0.913
Br 0.571 0.785 0.750
Br 0.429 0.215 0.250
Br 0.397 0.471 0.382
Br 0.215 0.785 0.750
Br 0.223 0.018 0.413
Br 0.926 0.529 0.882
Br 0.785 0.215 0.250
Br 0.074 0.603 0.382
Br 0.982 0.777 0.087
Br 0.777 0.795 0.913
Br 0.397 0.926 0.118
Br 0.603 0.074 0.882
Br 0.018 0.795 0.587
Br 0.205 0.223 0.587
Br 0.785 0.571 0.250
Br 0.074 0.471 0.118
Br 0.223 0.205 0.087
O 0.818 0.182 0.750
O 0.363 0.182 0.750
O 0.818 0.637 0.750
O 0.182 0.363 0.250
O 0.182 0.818 0.250
O 0.637 0.818 0.250

Output
SG: P-31c
raw total energy: -6.189 eV/atom
V: 1401.6 Å³ per cell

---

# 4
A plane-wave DFT calculation with PBEsol was carried out for Cs3LiBr4 after structural relaxation.

a = 7.913 Å, b = 9.051 Å, c = 9.051 Å
α = 103.10°, β = 90.00°, γ = 90.00°
Element x y z (fractional)
Br 0.161 0.620 0.001
Br 0.661 0.380 0.999
Br 0.339 0.999 0.380
Br 0.839 0.001 0.620
Br 0.000 0.489 0.489
Br 0.500 0.511 0.511
Br 0.000 0.027 0.027
Br 0.500 0.973 0.973
Cs 0.750 0.709 0.291
Cs 0.250 0.291 0.709
Cs 0.227 0.813 0.670
Cs 0.727 0.187 0.330
Cs 0.273 0.330 0.187
Cs 0.773 0.670 0.813
Li 0.750 0.113 0.887
Li 0.250 0.887 0.113

Output
SG: C222_1
raw total energy: -3.216 eV/atom
V: 631.4 Å³ per cell

---

# 5
A plane-wave DFT calculation with PBEsol was carried out for CsLi2Br3 after structural relaxation.

a = 4.606 Å, b = 5.532 Å, c = 7.516 Å
α = 111.59°, β = 107.84°, γ = 90.00°
Element x y z (fractional)
Cs 0.500 0.000 0.000
Br 0.782 0.782 0.564
Br 0.218 0.218 0.436
Br 0.000 0.500 0.000
Li 0.192 0.692 0.384
Li 0.808 0.308 0.616

Output
SG: Immm
raw total energy: -3.372 eV/atom
V: 168.1 Å³ per cell

---

# 6
A plane-wave DFT calculation with PBEsol was carried out for CsLiBr3 after structural relaxation.

a = 5.271 Å, b = 5.271 Å, c = 5.271 Å
α = 90.00°, β = 90.00°, γ = 90.00°
Last column: magnetic moment on the atom in μB.
Element x y z (fractional)
Cs 0.500 0.500 0.500  0.01
Br 0.000 0.500 0.000  0.23
Br 0.000 0.000 0.500  0.23
Br 0.500 0.000 0.000  0.23
Li 0.000 0.000 0.000  0.00

Output
SG: Pm-3m
raw total energy: -2.910 eV/atom
V: 146.4 Å³ per cell

---

# 7
A plane-wave DFT calculation with PBEsol was carried out for Cs3Li2Br5 after structural relaxation.

a = 4.341 Å, b = 5.942 Å, c = 13.132 Å
α = 103.07°, β = 99.51°, γ = 90.02°
Element x y z (fractional)
Cs 0.125 0.406 0.760
Cs 0.366 0.646 0.240
Cs 0.245 0.027 0.000
Br 0.745 0.528 0.000
Br 0.980 0.807 0.469
Br 0.511 0.338 0.531
Br 0.863 0.150 0.235
Br 0.628 0.915 0.765
Li 0.961 0.216 0.431
Li 0.529 0.785 0.569

Output
SG: Imm2
raw total energy: -3.297 eV/atom
V: 325.1 Å³ per cell

---

# 8
A plane-wave DFT calculation with PBEsol was carried out for Cs2LiMoBr6 after structural relaxation.

a = 7.513 Å, b = 7.513 Å, c = 7.513 Å
α = 60.00°, β = 60.00°, γ = 60.00°
Last column: magnetic moment on the atom in μB.
Element x y z (fractional)
Cs 0.750 0.750 0.750  0.00
Cs 0.250 0.250 0.250  0.00
Li 0.500 0.500 0.500  0.00
Mo 0.000 0.000 0.000  2.48
Br 0.757 0.243 0.243  0.03
Br 0.757 0.757 0.243  0.03
Br 0.243 0.757 0.757  0.03
Br 0.757 0.243 0.757  0.03
Br 0.243 0.757 0.243  0.03
Br 0.243 0.243 0.757  0.03

Output
SG: Fm-3m
raw total energy: -3.918 eV/atom
V: 299.9 Å³ per cell

---

# 9
A plane-wave DFT calculation with PBEsol was carried out for Cs2LiNdBr6 after structural relaxation.

a = 7.829 Å, b = 7.829 Å, c = 7.829 Å
α = 60.00°, β = 60.00°, γ = 60.00°
Element x y z (fractional)
Cs 0.750 0.750 0.750
Cs 0.250 0.250 0.250
Li 0.500 0.500 0.500
Nd 0.000 0.000 0.000
Br 0.743 0.257 0.257
Br 0.743 0.743 0.257
Br 0.257 0.743 0.743
Br 0.743 0.257 0.743
Br 0.257 0.743 0.257
Br 0.257 0.257 0.743

Output
SG: Fm-3m
raw total energy: -3.832 eV/atom
V: 339.3 Å³ per cell

---

# 10
A plane-wave DFT calculation with PBEsol was carried out for Cs2LiSbBr6 after structural relaxation.

a = 7.747 Å, b = 7.747 Å, c = 7.747 Å
α = 60.00°, β = 60.00°, γ = 60.00°
Element x y z (fractional)
Cs 0.750 0.750 0.750
Cs 0.250 0.250 0.250
Sb 0.000 0.000 0.000
Br 0.746 0.254 0.254
Br 0.746 0.746 0.254
Br 0.254 0.746 0.746
Br 0.746 0.254 0.746
Br 0.254 0.746 0.254
Br 0.254 0.254 0.746
Li 0.500 0.500 0.500

Output
SG: Fm-3m
raw total energy: -3.267 eV/atom
V: 328.8 Å³ per cell

---

# 11
A plane-wave DFT calculation with PBEsol was carried out for Cs2LiYBr6 after structural relaxation.

a = 7.722 Å, b = 7.722 Å, c = 7.722 Å
α = 60.00°, β = 60.00°, γ = 60.00°
Element x y z (fractional)
Cs 0.250 0.250 0.250
Cs 0.750 0.750 0.750
Y 0.500 0.500 0.500
Br 0.752 0.248 0.248
Br 0.248 0.248 0.752
Br 0.248 0.752 0.248
Br 0.248 0.752 0.752
Br 0.752 0.752 0.248
Br 0.752 0.248 0.752
Li 0.000 0.000 0.000

Output
SG: Fm-3m
raw total energy: -4.020 eV/atom
V: 325.6 Å³ per cell

---

# 12
A plane-wave DFT calculation with PBEsol was carried out for CsLuNb6Br18 after structural relaxation.

a = 9.641 Å, b = 9.641 Å, c = 17.969 Å
α = 90.00°, β = 90.00°, γ = 120.00°
Element x y z (fractional)
Cs 0.667 0.333 0.250
Cs 0.333 0.667 0.750
Lu 0.333 0.667 0.250
Lu 0.667 0.333 0.750
Nb 0.152 0.192 0.434
Nb 0.848 0.808 0.566
Nb 0.040 0.848 0.434
Nb 0.152 0.960 0.066
Nb 0.960 0.152 0.566
Nb 0.848 0.040 0.934
Nb 0.808 0.960 0.434
Nb 0.040 0.192 0.066
Nb 0.192 0.040 0.566
Nb 0.960 0.808 0.934
Nb 0.808 0.848 0.066
Nb 0.192 0.152 0.934
Br 0.365 0.451 0.337
Br 0.635 0.549 0.663
Br 0.086 0.635 0.337
Br 0.365 0.914 0.163
Br 0.914 0.365 0.663
Br 0.635 0.086 0.837
Br 0.549 0.914 0.337
Br 0.086 0.451 0.163
Br 0.451 0.086 0.663
Br 0.914 0.549 0.837
Br 0.549 0.635 0.163
Br 0.451 0.365 0.837
Br 0.953 0.189 0.338
Br 0.047 0.811 0.662
Br 0.236 0.047 0.338
Br 0.953 0.764 0.162
Br 0.764 0.953 0.662
Br 0.047 0.236 0.838
Br 0.811 0.764 0.338
Br 0.236 0.189 0.162
Br 0.189 0.236 0.662
Br 0.764 0.811 0.838
Br 0.811 0.047 0.162
Br 0.189 0.953 0.838
Br 0.718 0.141 0.499
Br 0.282 0.859 0.501
Br 0.423 0.282 0.499
Br 0.718 0.577 0.001
Br 0.577 0.718 0.501
Br 0.282 0.423 0.999
Br 0.859 0.577 0.499
Br 0.423 0.141 0.001
Br 0.141 0.423 0.501
Br 0.577 0.859 0.999
Br 0.859 0.282 0.001
Br 0.141 0.718 0.999

Output
SG: P-31c
raw total energy: -5.155 eV/atom
V: 1446.3 Å³ per cell